A relaxed structure of CeEr2ZrP4. Source: Alexandria via LeMat-Bulk, functional PBE.

## Properties
DOS(E_F)   5.566 states/eV/f.u.
Energy   -7.164 eV/atom
Total moment   0.28 Bohr magnetons per cell

The structure in POSCAR format:
```
CeEr2ZrP4
1.0
6.799 0.000 0.000
0.000 3.932 0.000
-2.254 0.000 6.433
Ce Er Zr P
1 2 1 4
Cartesian
0.000 0.000 0.000
2.273 0.000 3.217
3.400 1.966 0.000
-1.127 1.966 3.217
-0.016 0.000 4.758
1.111 1.966 1.667
3.435 1.966 4.766
4.562 0.000 1.675
```